[1]
KCd2Os | PBE-GGA | relaxed

Computed properties:
Offset from the most stable computed form   56.8 meV per atom
Space-group type   Pm
Energy of formation   601 meV per atom

a = 4.7472 Å, b = 2.8474 Å, c = 7.9409 Å
α = 90.15°, β = 90.00°, γ = 90.00°
Last column: nearest neighbours and their distance in Å.
Fractional coordinates of all 4 atoms:
Cd1 0.0000 0.1256 0.9120  4 Os 2.78, 2 Cd 2.85
Cd2 0.5000 0.1283 0.1854  2 Os 2.81, 2 Cd 2.85
K1 0.0000 0.6206 0.5219  2 K 2.85
Os1 0.5000 0.6256 0.8806  6 Cd 2.78-2.81, 2 Os 2.85

[2]
KCd3Os | PBE-GGA | relaxed

Computed properties:
Offset from the most stable computed form   1501.4 meV per atom
Space-group type   Pm-3m
Energy of formation   1886 meV per atom

a = 6.2702 Å, b = 6.2702 Å, c = 6.2702 Å
α = 90.00°, β = 90.00°, γ = 90.00°
Last column: nearest neighbours and their distance in Å.
Fractional coordinates of all 5 atoms:
K1 0.0000 0.0000 0.0000  6 Cd 3.14
Os1 0.5000 0.5000 0.5000  12 Cd 4.43
Cd1 0.0000 0.5000 0.0000  2 K 3.14
Cd2 0.0000 0.0000 0.5000  2 K 3.14
Cd3 0.5000 0.0000 0.0000  2 K 3.14

[3]
KCd2Os | PBE-GGA | relaxed

Computed properties:
Offset from the most stable computed form   92.3 meV per atom
Space-group type   C2/m
Energy of formation   637 meV per atom

a = 4.9571 Å, b = 4.9571 Å, c = 7.0813 Å
α = 85.94°, β = 85.94°, γ = 32.75°
Last column: nearest neighbours and their distance in Å.
Fractional coordinates of all 4 atoms:
Cd1 0.9870 0.9870 0.0647  4 Cd 2.80-3.00, 3 Os 2.88-2.91
Cd2 0.5130 0.5130 0.4353  4 Cd 2.80-3.00, 3 Os 2.88-2.91
K1 0.7500 0.7500 0.7500  2 K 2.80
Os1 0.2500 0.2500 0.2500  2 Os 2.80, 6 Cd 2.88-2.91

[4]
KCdOs4 | PBE-GGA | relaxed

Computed properties:
Space-group type   F-43m
Energy of formation   1014 meV per atom

a = 5.3454 Å, b = 5.3454 Å, c = 5.3454 Å
α = 60.00°, β = 60.00°, γ = 60.00°
Last column: nearest neighbours and their distance in Å.
Fractional coordinates of all 6 atoms:
K1 0.0000 0.0000 0.0000  12 Os 3.13, 4 Cd 3.27
Cd1 0.7500 0.7500 0.7500  12 Os 3.13, 4 K 3.27
Os1 0.8739 0.3754 0.3754  6 Os 2.66-2.68
Os2 0.3754 0.3754 0.8739  6 Os 2.66-2.68
Os3 0.3754 0.8739 0.3754  6 Os 2.66-2.68
Os4 0.3754 0.3754 0.3754  6 Os 2.66-2.68

[5]
KCd2Os | PBE-GGA | relaxed

Computed properties:
Offset from the most stable computed form   257.9 meV per atom
Space-group type   P4mm
Energy of formation   802 meV per atom

a = 3.6458 Å, b = 3.6458 Å, c = 8.1096 Å
α = 90.00°, β = 90.00°, γ = 90.00°
Last column: nearest neighbours and their distance in Å.
Fractional coordinates of all 4 atoms:
Cd1 0.0000 0.0000 0.9403  4 Os 2.69
Cd2 0.5000 0.5000 0.1865  1 Os 2.77
K1 0.0000 0.0000 0.5279  1 Cd 3.34, 4 Os 3.64, 4 K 3.65
Os1 0.5000 0.5000 0.8454  5 Cd 2.69-2.77

[6]
KCd2Os | PBE-GGA | relaxed

Computed properties:
Offset from the most stable computed form   546.0 meV per atom
Space-group type   F-43m
Energy of formation   1090 meV per atom

a = 4.9836 Å, b = 4.9836 Å, c = 4.9836 Å
α = 60.00°, β = 60.00°, γ = 60.00°
Last column: nearest neighbours and their distance in Å.
Fractional coordinates of all 4 atoms:
Cd1 0.0000 0.0000 0.0000  4 Cd 3.05, 4 Os 3.05
Cd2 0.2500 0.2500 0.2500  4 K 3.05, 4 Cd 3.05
K1 0.5000 0.5000 0.5000  4 Os 3.05, 4 Cd 3.05
Os1 0.7500 0.7500 0.7500  4 Cd 3.05, 4 K 3.05